a) Here is a relaxed structure of InAgBr from Alexandria via LeMat-Bulk. Energies are from PBE-GGA.

Properties
Space-group type   No. 46
Magnetization   0.00 μB per atom

a = 6.9919 Å, b = 6.9919 Å, c = 6.9919 Å
α = 123.68°, β = 143.95°, γ = 68.71°
With the nearest neighbours (Å) after each atom.
Fractional positions:
In  0.0000  0.0000  0.0000  4 Ag 2.82-3.06, 2 Br 2.97
In  0.0000  0.5000  0.5000  4 Ag 2.82-3.06, 2 Br 2.97
Ag  0.3659  0.1544  0.7115  1 Br 2.71, 2 In 2.82
Ag  0.4428  0.6544  0.2885  1 Br 2.71, 2 In 2.82
Br  0.4332  0.9436  0.9896  1 Ag 2.71, 2 In 2.97
Br  0.9540  0.4436  0.0104  1 Ag 2.71, 2 In 2.97


b) Here is a relaxed structure of InAgBr from Alexandria via LeMat-Bulk. Energies are from PBE-GGA.

Properties
Space-group type   No. 216
Magnetization   0.00 μB per atom

a = 4.9838 Å, b = 4.9838 Å, c = 4.9838 Å
α = 60.00°, β = 60.00°, γ = 60.00°
With the nearest neighbours (Å) after each atom.
Fractional positions:
In  0.0000  0.0000  0.0000  4 Ag 3.05
Ag  0.7500  0.7500  0.7500  4 In 3.05, 4 Br 3.05
Br  0.5000  0.5000  0.5000  4 Ag 3.05


Looking at the structures above, a) is most stable, and the difference to the next one is 200 meV/atom.